Computed, not measured: a relaxed structure of LiEr2Tl2W4O16 at the GGA+U level of DFT.

Lattice parameters (Å, degrees): 7.769 7.769 7.555 118.50 118.50 87.19
Fractional coordinates of all 25 atoms:
Li: 0.000 0.000 0.000
Er: 0.263 0.737 0.500
Er: 0.711 0.289 0.000
Tl: 0.284 0.716 0.000
Tl: 0.696 0.304 0.500
W: 0.187 0.223 0.955
W: 0.195 0.209 0.463
W: 0.777 0.813 0.045
W: 0.791 0.805 0.537
O: 0.082 0.890 0.288
O: 0.110 0.918 0.712
O: 0.117 0.269 0.692
O: 0.137 0.462 0.133
O: 0.247 0.476 0.555
O: 0.254 0.150 0.205
O: 0.435 0.159 0.634
O: 0.457 0.273 0.053
O: 0.524 0.753 0.445
O: 0.538 0.863 0.867
O: 0.727 0.543 0.947
O: 0.731 0.883 0.308
O: 0.841 0.565 0.366
O: 0.850 0.746 0.795
O: 0.867 0.103 0.797
O: 0.897 0.133 0.203

Properties
The uncorrected energy is -7.138 eV per atom. As for the space group: No. 5.